Record 1
PBE-GGA VNi2HPd, relaxed; V = 52.7 Å³/cell; space-group type = P4/mmm, No. 123; spin magnetization = 1.840 Bohr magnetons per cell; energy relative to the lowest polymorph listed for this composition = 0 meV per atom; DOS at the Fermi energy = 4.7 states/eV per cell
1.0
3.6967 0.0000 0.0000
0.0000 3.6967 0.0000
0.0000 0.0000 3.8580
Ni H Pd V
2 1 1 1
Cartesian
0.0000 1.8483 0.0000 Ni
1.8483 0.0000 0.0000 Ni
0.0000 0.0000 0.0000 H
1.8483 1.8483 1.9290 Pd
0.0000 0.0000 1.9290 V

Record 2
PBE-GGA Ca2CuPt, relaxed; V = 182.4 Å³/cell; space-group type = I-42d, No. 122; spin magnetization = 0.000 Bohr magnetons per cell; DFT formation energy = -0.186 eV per atom; DOS at the Fermi energy = 3.6 states/eV per cell
1.0
-5.6410 4.8497 -2.1741
-2.7154 -5.3553 -4.9004
-5.9685 -1.3519 -1.3440
Ca Cu Pt
4 2 2
Cartesian
-5.3856 2.0481 -2.3183 Ca
-3.8660 -3.1032 -3.6596 Ca
-7.5964 -1.1766 -3.6363 Ca
-11.8019 -1.4833 -7.2229 Ca
-4.1782 -0.2528 -3.5373 Cu
-6.4311 -3.4800 -4.8909 Cu
0.0000 0.0000 0.0000 Pt
-7.8938 1.6225 -3.5277 Pt

Record 3
PBE-GGA Tb3TmSc7, relaxed; V = 304.8 Å³/cell; space-group type = Immm, No. 71; spin magnetization = 0.456 Bohr magnetons per cell; DFT formation energy = 0.304 eV per atom; DOS at the Fermi energy = 15.7 states/eV per cell
1.0
5.4435 -0.2043 -0.2617
-2.4010 7.5055 1.1259
-2.4010 -0.7273 7.5545
Tb Tm Sc
3 1 7
Cartesian
-2.4010 5.7521 2.4950 Tb
2.7218 -0.1022 -0.1308 Tb
-2.4010 1.0261 6.1854 Tb
0.3207 3.2869 4.2094 Tm
0.1360 1.3660 1.7493 Sc
-2.2190 6.8551 5.5007 Sc
2.8605 2.8992 0.4345 Sc
-2.2190 3.6747 7.9842 Sc
-2.4010 3.3891 4.3402 Sc
2.8605 -0.2813 2.9180 Sc
0.5054 5.2079 6.6694 Sc

Record 4
PBE-GGA Ba2Ag2Pd, relaxed; V = 320.7 Å³/cell; space-group type = C2/m, No. 12; spin magnetization = 0.000 Bohr magnetons per cell; energy relative to the lowest polymorph listed for this composition = 0 meV per atom; DFT formation energy = -0.359 eV per atom; DOS at the Fermi energy = 4.9 states/eV per cell
1.0
-3.6128 2.8162 0.7965
-2.8452 -1.4262 5.7076
5.0016 8.6095 5.8157
Ba Ag Pd
4 4 2
Cartesian
-1.3779 4.7680 4.0325 Ba
0.3006 9.7740 7.5162 Ba
-0.0785 5.2315 8.2873 Ba
-1.7569 0.2255 4.8036 Ba
1.8414 4.6865 5.3522 Ag
-0.3001 8.1266 10.6163 Ag
-3.2978 5.3129 6.9676 Ag
-1.1563 1.8729 1.7035 Ag
0.9101 7.3171 5.3976 Pd
-2.3665 2.6824 6.9222 Pd

Record 5
PBE-GGA BiB3Pt, relaxed; V = 77.0 Å³/cell; space-group type = Pm-3m, No. 221; spin magnetization = 0.000 Bohr magnetons per cell; energy relative to the lowest polymorph listed for this composition = 0 meV per atom; DFT formation energy = 1.180 eV per atom; DOS at the Fermi energy = 4.0 states/eV per cell
1.0
4.2552 0.0000 0.0000
0.0000 4.2552 0.0000
0.0000 0.0000 4.2552
B Bi Pt
3 1 1
Cartesian
0.0000 2.1276 0.0000 B
0.0000 0.0000 2.1276 B
2.1276 0.0000 0.0000 B
2.1276 2.1276 2.1276 Bi
0.0000 0.0000 0.0000 Pt

Record 6
PBE-GGA CsP2ICl, relaxed; V = 190.8 Å³/cell; space-group type = P4/mmm, No. 123; spin magnetization = 0.000 Bohr magnetons per cell; energy relative to the lowest polymorph listed for this composition = 0 meV per atom; DOS at the Fermi energy = 4.1 states/eV per cell
1.0
-2.2661 -4.4218 1.2467
4.4000 -2.4888 -0.8294
1.8763 0.9993 6.9549
Cs I P Cl
1 1 2 1
Cartesian
2.0051 -2.9556 3.6861 Cs
0.0000 0.0000 0.0000 I
2.2000 -1.2444 -0.4147 P
-1.1330 -2.2109 0.6233 P
0.9381 0.4996 3.4775 Cl

Record 7
PBE-GGA NiB2IrRh, relaxed; V = 110.4 Å³/cell; space-group type = C2/m, No. 12; spin magnetization = 0.000 Bohr magnetons per cell; DFT formation energy = -0.160 eV per atom; DOS at the Fermi energy = 6.6 states/eV per cell
1.0
3.2645 0.0000 0.0000
-1.6323 5.1270 0.6032
0.0000 -0.5171 6.5327
Ni B Ir Rh
2 4 2 2
Cartesian
1.6323 1.6146 0.5994 Ni
0.0000 2.9953 6.5364 Ni
0.0000 3.5374 4.4512 B
1.6323 1.0725 2.6846 B
0.0000 1.0678 5.9241 B
1.6323 3.5421 1.2118 B
0.0000 0.0304 1.9046 Ir
1.6323 4.5795 5.2312 Ir
0.0000 2.7640 2.5097 Rh
1.6323 1.8460 4.6262 Rh

Record 8
PBE-GGA Cu4Te3PbO12, relaxed; V = 278.5 Å³/cell; space-group type = R32, No. 155; spin magnetization = 0.000 Bohr magnetons per cell; DOS at the Fermi energy = 3.1 states/eV per cell; DFT total energy = -104.52 eV/cell
1.0
-5.2318 -2.7940 3.6236
0.9564 -3.9794 -5.6177
5.7234 -0.5568 3.9040
Cu Te Pb O
4 3 1 12
Cartesian
-1.6433 -3.2116 4.4902 Cu
4.9149 -2.8093 1.0623 Cu
-1.0996 -4.9744 -2.6875 Cu
0.7240 -3.6651 0.9550 Cu
-2.5764 -3.3027 -0.3420 Te
1.0223 -1.5168 3.7837 Te
3.0020 -2.5107 -1.5318 Te
0.0000 0.0000 0.0000 Pb
1.5483 -3.0733 2.6015 O
-3.6806 -4.5646 0.8422 O
3.2120 -4.1417 -2.7605 O
2.6406 -2.2890 4.7832 O
0.6661 -5.1029 -3.2243 O
4.5917 -2.7363 2.8823 O
-2.9052 -4.0706 3.4452 O
-2.6468 -4.6891 -1.7144 O
4.7360 -2.9848 -0.7706 O
-0.0978 -2.4070 5.1117 O
-1.1704 -4.0520 0.9065 O
1.7941 -3.8701 -0.6430 O

Record 9
PBE-GGA CaTb6Nd3, relaxed; V = 346.0 Å³/cell; space-group type = C2/m, No. 12; spin magnetization = 0.000 Bohr magnetons per cell; DFT formation energy = 0.246 eV per atom; DOS at the Fermi energy = 18.1 states/eV per cell
1.0
-6.2203 0.6053 2.3795
0.9186 -8.4329 4.5465
4.3197 8.6336 -0.3010
Ca Tb Nd
1 6 3
Cartesian
-2.6508 -3.9138 3.4630 Ca
-0.5535 -1.2582 3.5012 Tb
2.7282 1.7571 1.9162 Tb
-0.4284 2.0642 3.1237 Tb
-3.7102 -0.9510 4.7087 Tb
1.1264 -4.7169 4.1446 Tb
-2.1084 5.5230 2.4803 Tb
-2.0750 -6.4659 5.6175 Nd
1.0930 7.2719 1.0074 Nd
0.0000 0.0000 0.0000 Nd

Record 10
PBE-GGA KLiSc4, relaxed; V = 182.2 Å³/cell; space-group type = F-43m, No. 216; spin magnetization = 0.021 Bohr magnetons per cell; DFT formation energy = 0.584 eV per atom; DOS at the Fermi energy = 10.5 states/eV per cell
1.0
-5.3402 -0.7803 3.3717
-3.4602 5.0639 1.6967
-5.6593 1.0418 -2.7171
K Li Sc
1 1 4
Cartesian
-10.8448 3.9941 1.7635 K
0.0000 0.0000 0.0000 Li
-8.1072 1.5889 2.5912 Sc
-8.2694 2.5155 -0.5049 Sc
-7.1512 4.5607 1.7395 Sc
-5.3916 1.9857 0.8767 Sc

Record 11
PBE-GGA Te6Mo2W, relaxed; V = 255.7 Å³/cell; space-group type = P-6m2, No. 187; spin magnetization = 0.000 Bohr magnetons per cell; energy relative to the lowest polymorph listed for this composition = 0 meV per atom
1.0
-3.4316 0.6465 -0.6660
0.9140 -2.5455 2.3071
-0.4351 15.5995 17.3838
Te Mo W
6 2 1
Cartesian
-0.5684 -0.2667 2.6698 Te
-2.2460 9.0062 10.8266 Te
-2.0879 3.3408 4.5132 Te
-2.3134 11.4237 13.5206 Te
-2.1554 5.7583 7.2072 Te
-0.9358 12.9032 17.3461 Te
-0.8311 9.1506 13.1643 Mo
-0.6731 3.4859 6.8516 Mo
-1.9831 -0.4175 0.3250 W

Record 12
PBE-GGA Na3GaHg8, relaxed; V = 304.8 Å³/cell; space-group type = Cm, No. 8; spin magnetization = 0.000 Bohr magnetons per cell; DFT formation energy = -0.146 eV per atom; DOS at the Fermi energy = 3.4 states/eV per cell
1.0
7.3737 0.0000 -2.1283
-5.3354 5.0624 5.6231
-3.2971 0.0000 9.1179
Na Ga Hg
3 1 8
Cartesian
0.6814 2.5785 6.9068 Na
-1.3569 2.4839 3.4120 Na
3.5452 0.0000 2.7845 Na
-1.8088 0.0000 8.3794 Ga
-0.6685 0.0000 5.4719 Hg
-2.4605 2.5280 6.4434 Hg
-0.4223 2.5344 9.9382 Hg
4.5117 0.0000 -0.2727 Hg
2.5188 0.0000 5.8936 Hg
1.7841 2.4387 3.8379 Hg
-3.5513 2.6237 9.4610 Hg
0.3455 0.0000 2.1746 Hg

Record 13
PBE-GGA PrHoAlCu, relaxed; V = 96.0 Å³/cell; space-group type = F-43m, No. 216; spin magnetization = 0.000 Bohr magnetons per cell; DFT formation energy = -0.229 eV per atom; DOS at the Fermi energy = 4.4 states/eV per cell
1.0
-2.7681 -3.8739 1.9373
0.7138 -4.7867 -1.7323
2.2469 -3.5127 3.0058
Pr Ho Cu Al
1 1 1 1
Cartesian
0.0000 0.0000 0.0000 Pr
0.0963 -6.0866 1.6054 Ho
0.0481 -3.0433 0.8027 Cu
0.1444 -9.1299 2.4081 Al

Record 14
PBE-GGA LaAlTe2, relaxed; V = 118.2 Å³/cell; space-group type = Pm, No. 6; spin magnetization = 0.000 Bohr magnetons per cell; DOS at the Fermi energy = 0.0 states/eV per cell; DFT total energy = -19.23 eV/cell
1.0
4.4507 0.0000 0.0000
0.0000 4.4639 -0.0004
0.0000 2.2589 5.9471
Te Al La
2 1 1
Cartesian
0.0000 6.5600 5.6118 Te
2.2254 2.0470 2.2164 Te
0.0000 3.8677 2.3408 Al
2.2254 4.3322 4.6977 La

Record 15
PBE-GGA Li6PdAu, relaxed; V = 128.5 Å³/cell; space-group type = I4/mmm, No. 139; spin magnetization = 0.000 Bohr magnetons per cell; energy relative to the lowest polymorph listed for this composition = 45 meV per atom; DFT formation energy = -0.290 eV per atom; DOS at the Fermi energy = 2.6 states/eV per cell
1.0
-4.5272 -1.0723 -0.3524
-0.2607 -0.4245 4.6391
-3.7832 4.9706 2.5886
Li Pd Au
6 1 1
Cartesian
-5.4782 1.3450 4.5081 Li
-5.7464 3.1977 2.3161 Li
-3.6132 3.5217 4.8119 Li
-2.8248 0.2761 4.5593 Li
-3.0929 2.1288 2.3673 Li
-4.9579 -0.0479 2.0634 Li
0.0000 0.0000 0.0000 Pd
-2.3940 -0.7484 2.1434 Au

Record 16
PBE-GGA PrNd3Sn, relaxed; V = 334.1 Å³/cell; space-group type = C2/m, No. 12; spin magnetization = 0.000 Bohr magnetons per cell; energy relative to the lowest polymorph listed for this composition = 0 meV per atom; DFT formation energy = -0.270 eV per atom; DOS at the Fermi energy = 11.5 states/eV per cell
1.0
4.9605 0.0000 0.0000
-2.4803 5.7929 -0.1729
0.0000 1.7502 11.5742
Pr Nd Sn
2 6 2
Cartesian
2.4803 4.0508 0.5434 Pr
0.0000 3.4923 10.8580 Pr
2.4803 5.2534 4.4451 Nd
0.0000 2.2896 6.9562 Nd
0.0000 6.9819 9.6867 Nd
2.4803 0.5612 1.7147 Nd
0.0000 2.8886 2.8667 Nd
2.4803 4.6544 8.5347 Nd
2.4803 1.9563 4.7464 Sn
0.0000 5.5867 6.6550 Sn

Record 17
PBE-GGA MoC2, relaxed; V = 27.4 Å³/cell; space-group type = P-3m1, No. 164; spin magnetization = 0.000 Bohr magnetons per cell; energy relative to the lowest polymorph listed for this composition = 520 meV per atom; DFT formation energy = 1.039 eV per atom; DOS at the Fermi energy = 1.2 states/eV per cell
1.0
-1.7616 0.3761 -1.8714
2.1882 -1.2999 -0.5184
-2.1102 -4.0219 1.1779
Mo C
1 2
Cartesian
-1.1484 -1.5232 -1.0278 Mo
-1.8578 -3.5410 1.0371 C
-0.7875 -3.9034 -0.0433 C

Record 18
PBE-GGA Rb2SmPa2Se6, relaxed; V = 379.0 Å³/cell; space-group type = C2/m, No. 12; spin magnetization = 3.046 Bohr magnetons per cell; DOS at the Fermi energy = 12.1 states/eV per cell; DFT total energy = -62.95 eV/cell
1.0
7.2727 -0.0249 0.0823
-3.6162 6.3100 0.0823
-1.2803 -2.2008 8.2182
Rb Sm Pa Se
2 1 2 6
Cartesian
5.4740 1.0216 0.0823 Rb
-1.8175 5.2635 0.0823 Rb
-0.6402 -1.1004 4.1091 Sm
-0.6070 3.0865 4.1914 Pa
2.9832 0.9978 4.1914 Pa
1.7570 3.0202 5.8523 Se
-1.8970 1.0197 5.7471 Se
0.6191 1.0642 2.5305 Se
1.8240 -1.1451 5.7471 Se
4.2732 3.0647 2.6357 Se
0.5521 5.2295 2.6357 Se

Record 19
PBE-GGA Gd2SiIr, relaxed; V = 84.7 Å³/cell; space-group type = P4/mmm, No. 123; spin magnetization = 13.965 Bohr magnetons per cell; energy relative to the lowest polymorph listed for this composition = 0 meV per atom; DOS at the Fermi energy = 1.6 states/eV per cell
1.0
3.8195 0.0000 0.0000
0.0000 4.7093 0.0000
0.0000 0.0000 4.7093
Gd Si Ir
2 1 1
Cartesian
0.0000 0.0000 2.3546 Gd
0.0000 2.3546 0.0000 Gd
1.9098 2.3546 2.3546 Si
1.9098 0.0000 0.0000 Ir

Record 20
PBE-GGA Ta2CdGa2, relaxed; V = 188.2 Å³/cell; space-group type = P4/mbm, No. 127; spin magnetization = 0.000 Bohr magnetons per cell; DFT formation energy = 0.137 eV per atom; DOS at the Fermi energy = 7.9 states/eV per cell
1.0
7.9807 0.0000 0.0000
0.0000 7.9807 0.0000
0.0000 0.0000 2.9544
Cd Ga Ta
2 4 4
Cartesian
0.0000 0.0000 0.0000 Cd
3.9904 3.9904 0.0000 Cd
1.4043 5.3947 1.4772 Ga
5.3947 6.5764 1.4772 Ga
6.5764 2.5860 1.4772 Ga
2.5860 1.4043 1.4772 Ga
3.0281 7.0185 0.0000 Ta
7.0185 4.9527 0.0000 Ta
4.9527 0.9623 0.0000 Ta
0.9623 3.0281 0.0000 Ta

Record 21
PBE-GGA TaCuAg2, relaxed; V = 67.4 Å³/cell; space-group type = Cmmm, No. 65; spin magnetization = 0.003 Bohr magnetons per cell; energy relative to the lowest polymorph listed for this composition = 281 meV per atom; DFT formation energy = 0.447 eV per atom; DOS at the Fermi energy = 3.7 states/eV per cell
1.0
-4.0351 2.8964 1.1116
-1.1193 -4.8234 1.1787
0.9783 0.3915 2.5312
Ag Cu Ta
2 1 1
Cartesian
0.0000 0.0000 0.0000 Ag
-2.5772 -0.9635 1.1451 Ag
-1.5284 1.6439 1.8214 Cu
-0.0705 -2.2159 1.8549 Ta

Record 22
PBE-GGA Li2ZnSi, relaxed; V = 57.5 Å³/cell; space-group type = P2/m, No. 10; spin magnetization = 0.000 Bohr magnetons per cell; DOS at the Fermi energy = 1.0 states/eV per cell; DFT total energy = -11.10 eV/cell
1.0
4.0856 0.0000 0.0000
0.0000 2.6159 0.0659
0.0000 2.7910 5.4522
Li Si Zn
2 1 1
Cartesian
0.0000 2.6317 0.1337 Li
0.0000 2.6877 2.6912 Li
2.0428 1.3517 1.3795 Si
2.0428 4.0552 4.1385 Zn

Record 23
PBE-GGA Tl5CdAu4, relaxed; V = 264.2 Å³/cell; space-group type = C2/m, No. 12; spin magnetization = 0.000 Bohr magnetons per cell; DFT formation energy = -0.025 eV per atom; DOS at the Fermi energy = 3.1 states/eV per cell
1.0
3.9587 0.0000 -0.8261
-0.8538 6.8907 -4.0918
0.0801 -0.9893 10.2826
Tl Cd Au
5 1 4
Cartesian
0.4781 1.6147 2.2911 Tl
0.1056 4.8471 0.5061 Tl
3.0794 1.0542 4.8587 Tl
1.5524 3.4453 -2.4589 Tl
2.7069 4.2867 3.0737 Tl
1.9794 0.0000 -0.4130 Cd
1.7115 6.3070 -1.6967 Au
-0.1330 1.8794 -0.6374 Au
1.4735 -0.4057 7.0615 Au
3.3180 4.0219 6.0022 Au

Record 24
PBE-GGA Tb2NiHgRh, relaxed; V = 216.8 Å³/cell; space-group type = P2_1/m, No. 11; spin magnetization = 0.000 Bohr magnetons per cell; DFT formation energy = -0.536 eV per atom; DOS at the Fermi energy = 8.4 states/eV per cell
1.0
-2.9264 2.3870 1.5107
-5.1826 -5.3997 -1.5074
4.1069 0.4596 7.2291
Tb Ni Hg Rh
4 2 2 2
Cartesian
-3.2886 -1.8654 4.7901 Tb
-5.6897 -2.1313 0.5593 Tb
-0.7135 -0.6877 2.4423 Tb
1.6876 -0.4218 6.6732 Tb
-1.5204 -3.8686 5.9051 Ni
-2.4817 1.3155 1.3273 Ni
-3.2835 -3.6157 2.0902 Hg
-0.7185 1.0626 5.1423 Hg
-0.3042 -1.8590 5.0857 Rh
-3.6979 -0.6942 2.1468 Rh